DFT (PBE) results for a geometry-optimized KLi2IrF8 structure.

Calculated values
For the uncorrected formation energy, the calculation gives -2509.1 kJ/mol of formula units.

a = 4.949 Å, b = 4.943 Å, c = 7.551 Å
α = 88.81°, β = 88.82°, γ = 76.83°
Site moments in Bohr magnetons follow the coordinates.
Atoms (fractional coordinates):
K: 0.000 0.000 0.500  0.00
Li: 0.499 0.499 0.675  0.00
Li: 0.501 0.501 0.325  0.00
Ir: 0.000 0.000 0.000  1.20
F: 0.218 0.777 0.185  0.06
F: 0.757 0.758 0.004  0.18
F: 0.778 0.219 0.185  0.06
F: 0.782 0.223 0.815  0.06
F: 0.243 0.242 0.996  0.18
F: 0.222 0.781 0.815  0.06
F: 0.668 0.668 0.496  0.06
F: 0.332 0.332 0.504  0.06



DFT (PBE) results for a geometry-optimized MoRuW2 structure.

Calculated values
As for the energy relative to the lowest polymorph listed for this composition: 0.009 eV per atom. For the energy of formation, the calculation gives 0.122 eV per atom.

a = 5.207 Å, b = 5.200 Å, c = 2.746 Å
α = 79.55°, β = 80.51°, γ = 117.21°
Atoms (fractional coordinates):
Mo: 0.000 0.500 0.500
Ru: 0.500 0.500 0.000
W: 0.000 0.000 0.000
W: 0.500 0.000 0.500



DFT (PBE) results for a geometry-optimized AlCrSbI2 structure.

Calculated values
For the uncorrected formation energy, the calculation gives 167.8 kJ/mol of formula units. As for the energy relative to the lowest polymorph listed for this composition: 0.000 eV per atom.

a = 5.649 Å, b = 5.649 Å, c = 5.192 Å
α = 90.00°, β = 90.00°, γ = 90.00°
Site moments in Bohr magnetons follow the coordinates.
Atoms (fractional coordinates):
I: 0.000 0.500 0.000  -0.06
I: 0.500 0.000 0.000  -0.06
Sb: 0.000 0.000 0.500  -0.39
Al: 0.500 0.500 0.500  -0.01
Cr: 0.000 0.000 0.000  3.21



For reference, DOS at the Fermi energy by record: 8.6; 4.1; 2.4 states/eV per cell.